Entry 1:
This record from the Alexandria database describes a geometry-optimized Eu2CuP structure. The functional is PBE-GGA.

Summary:
Space group: P4/mmm
Energy of formation (eV per atom): -0.5892
Raw total energy (eV per cell): -32.41
Total magnetization (μB/atom): 3.465
E above lowest polymorph (eV per atom): 0.034

a b c (Å): 4.9841 4.9841 3.7551
angles (deg): 90.00 90.00 90.00
Closest atoms and distances in Å follow each position.
Positions (direct):
Eu 0.0000 0.5000 0.0000  4 Cu 3.12, 4 P 3.12
Eu 0.5000 0.0000 0.0000  4 Cu 3.12, 4 P 3.12
Cu 0.0000 0.0000 0.5000  8 Eu 3.12
P 0.5000 0.5000 0.5000  8 Eu 3.12

=====

Entry 2:
This record from the Alexandria database describes a geometry-optimized AlCu2B structure. The functional is PBE-GGA.

Summary:
Space group: P4/mmm
Energy of formation (eV per atom): 0.3038
Raw total energy (eV per cell): -17.40
Total magnetization (μB/atom): 0.000
E above lowest polymorph (eV per atom): 0.000

a b c (Å): 3.4726 3.4726 3.6640
angles (deg): 90.00 90.00 90.00
Closest atoms and distances in Å follow each position.
Positions (direct):
Al 0.0000 0.0000 0.0000  4 B 2.46, 8 Cu 2.52
Cu 0.0000 0.5000 0.5000  4 Cu 2.46, 4 B 2.52, 4 Al 2.52
Cu 0.5000 0.0000 0.5000  4 Cu 2.46, 4 B 2.52, 4 Al 2.52
B 0.5000 0.5000 0.0000  4 Al 2.46, 8 Cu 2.52

=====

Entry 3:
This record from the Alexandria database describes a geometry-optimized Nd3TcB7 structure. The functional is PBE-GGA.

Summary:
Space group: Cmcm
Energy of formation (eV per atom): -0.4262
Raw total energy (eV per cell): -152.20
Total magnetization (μB/atom): 0.000

a b c (Å): 8.3797 8.3797 9.5953
angles (deg): 90.00 90.00 154.90
Closest atoms and distances in Å follow each position.
Positions (direct):
Nd 0.1036 0.8964 0.5619  11 B 2.72-2.85
Nd 0.1036 0.8964 0.9381  11 B 2.72-2.85
Nd 0.2421 0.7579 0.2500  10 B 2.73-2.78, 1 Tc 3.05
Nd 0.7579 0.2421 0.7500  10 B 2.73-2.78, 1 Tc 3.05
Nd 0.8964 0.1036 0.0619  11 B 2.72-2.85
Nd 0.8964 0.1036 0.4381  11 B 2.72-2.85
Tc 0.0558 0.9442 0.2500  10 B 2.35-2.39
Tc 0.9442 0.0558 0.7500  10 B 2.35-2.39
B 0.2742 0.7258 0.5322  3 B 1.93-2.08
B 0.2742 0.7258 0.9678  3 B 1.93-2.08
B 0.3685 0.6315 0.6526  3 B 1.83-1.93
B 0.3685 0.6315 0.8474  3 B 1.83-1.93
B 0.4654 0.5346 0.2500  2 B 1.73
B 0.4760 0.5240 0.6000  2 B 1.73-1.83
B 0.4760 0.5240 0.9000  2 B 1.73-1.83
B 0.5240 0.4760 0.1000  2 B 1.73-1.83
B 0.5240 0.4760 0.4000  2 B 1.73-1.83
B 0.5346 0.4654 0.7500  2 B 1.73
B 0.6315 0.3685 0.1526  3 B 1.83-1.93
B 0.6315 0.3685 0.3474  3 B 1.83-1.93
B 0.7258 0.2742 0.0322  3 B 1.93-2.08
B 0.7258 0.2742 0.4678  3 B 1.93-2.08

=====

Entry 4:
This record from the Alexandria database describes a geometry-optimized BaNiTe2 structure. The functional is PBE-GGA.

Summary:
Space group: Cmmm
E_form (uncorrected) (eV/atom): -0.4309
Raw total energy (eV per cell): -31.42
Total magnetization (μB/atom): 0.000

a b c (Å): 4.1415 8.2965 8.1191
angles (deg): 90.00 90.00 90.00
Closest atoms and distances in Å follow each position.
Positions (direct):
Ba 0.0000 0.0000 0.0000  4 Te 3.27
Ba 0.5000 0.5000 0.0000  4 Te 3.27
Ni 0.0000 0.0000 0.5000  4 Te 2.57
Ni 0.5000 0.5000 0.5000  4 Te 2.57
Te 0.0000 0.5000 0.3120  2 Ni 2.57
Te 0.0000 0.5000 0.6880  2 Ni 2.57
Te 0.5000 0.0000 0.3120  2 Ni 2.57
Te 0.5000 0.0000 0.6880  2 Ni 2.57

=====

Entry 5:
This record from the Alexandria database describes a geometry-optimized AsPClF2 structure. The functional is PBE-GGA.

Summary:
Space group: P4/mmm
E_form (uncorrected) (eV/atom): 0.2370
Raw total energy (eV per cell): -14.46
Total magnetization (μB/atom): 0.141

a b c (Å): 4.1217 4.1217 5.0082
angles (deg): 90.00 90.00 90.00
Closest atoms and distances in Å follow each position.
Positions (direct):
As 0.0000 0.0000 0.0000  4 P 2.91, 8 F 3.24
P 0.5000 0.5000 0.0000  2 Cl 2.50
Cl 0.5000 0.5000 0.5000  4 F 2.06
F 0.0000 0.5000 0.5000  2 Cl 2.06
F 0.5000 0.0000 0.5000  2 Cl 2.06

=====

Entry 6:
This record from the Alexandria database describes a geometry-optimized Rb3Sr3RuO8 structure. The functional is PBE-GGA.

Summary:
Space group: R-3m
E_form (uncorrected) (eV/atom): -1.7541
Raw total energy (eV per cell): -83.20
Total magnetization (μB/atom): 0.064

a b c (Å): 7.7796 7.7796 7.7796
angles (deg): 55.34 55.34 55.34
Closest atoms and distances in Å follow each position.
Positions (direct):
Rb 0.0000 0.5000 0.5000  6 O 2.90-2.91
Rb 0.5000 0.0000 0.5000  6 O 2.90-2.91
Rb 0.5000 0.5000 0.0000  6 O 2.90-2.91
Sr 0.0000 0.0000 0.5000  6 O 2.43-2.60
Sr 0.0000 0.5000 0.0000  6 O 2.43-2.60
Sr 0.5000 0.0000 0.0000  6 O 2.43-2.60
Ru 0.5000 0.5000 0.5000  6 O 1.95
O 0.2302 0.2302 0.2302  3 Sr 2.43
O 0.2967 0.6849 0.6849  1 Ru 1.95
O 0.3151 0.3151 0.7033  1 Ru 1.95
O 0.3151 0.7033 0.3151  1 Ru 1.95
O 0.6849 0.2967 0.6849  1 Ru 1.95
O 0.6849 0.6849 0.2967  1 Ru 1.95
O 0.7033 0.3151 0.3151  1 Ru 1.95
O 0.7698 0.7698 0.7698  3 Sr 2.43